(1)
# Zr3As | Alexandria via LeMat-Bulk | GGA-PBE | relaxed
data_Zr3As
_chemical_formula_sum 'Zr6 As2'
_cell_length_a 3.4732
_cell_length_b 8.7590
_cell_length_c 5.7148
_cell_angle_alpha 90.00
_cell_angle_beta 90.00
_cell_angle_gamma 90.00
_space_group_name_H-M_alt 'I m m 2'
_space_group_IT_number 44
loop_
_space_group_symop_operation_xyz
'x,y,z'
'-x,-y,z'
'-x,y,z'
'x,-y,z'
'x+1/2,y+1/2,z+1/2'
'-x+1/2,-y+1/2,z+1/2'
'-x+1/2,y+1/2,z+1/2'
'x+1/2,-y+1/2,z+1/2'
loop_
_atom_site_label
_atom_site_type_symbol
_atom_site_fract_x
_atom_site_fract_y
_atom_site_fract_z
Zr1 Zr 0.0000 0.0000 0.0000
Zr2 Zr 0.0000 0.2026 0.5830
As1 As 0.0000 0.5000 0.8610
# ΔE_f   -477 meV per atom

***

(2)
# Ag2Ge2Se | Alexandria via LeMat-Bulk | GGA-PBE | relaxed
data_Ag2Ge2Se
_chemical_formula_sum 'Ag4 Ge4 Se2'
_cell_length_a 3.9272
_cell_length_b 3.9272
_cell_length_c 13.4883
_cell_angle_alpha 90.00
_cell_angle_beta 90.00
_cell_angle_gamma 90.00
_space_group_name_H-M_alt 'I 4/m m m'
_space_group_IT_number 139
_space_group_name_Hall '-I 4 2'
loop_
_atom_site_label
_atom_site_type_symbol
_atom_site_fract_x
_atom_site_fract_y
_atom_site_fract_z
Ag1 Ag 0.0000 0.5000 0.2500
Ge1 Ge 0.0000 0.0000 0.0959
Se1 Se 0.0000 0.0000 0.5000
# Uncorrected formation energy   262 meV per atom
# ΔE to the lowest computed polymorph   0.47 kcal/mol of atoms

***

no.,DOS(E_F) (states/eV/atom),total magnetic moment (μB per atom)
1,1.041,0.000
2,0.356,0.000